Entry 1:
First-principles (PBE-GGA) data for crystalline NbIr2PdF at its relaxed geometry, as listed in Alexandria.

Summary:
E_tot   -31.435 eV per cell
ΔE_f (raw)   684 meV per atom
Magnetic moment   0.0 μB/cell

Cell: 4.265 4.282 4.265 Å, 90.00 90.00 90.00°
Fractional coordinates of all 5 atoms:
Ir (0.000, 0.000, 0.500)
Ir (0.500, 0.000, 0.000)
Pd (0.000, 0.500, 0.000)
Nb (0.500, 0.500, 0.500)
F (0.000, 0.000, 0.000)



Entry 2:
First-principles (PBE-GGA) data for crystalline RbNbIr2F at its relaxed geometry, as listed in Alexandria.

Summary:
E_tot   -24.816 eV per cell
ΔE_f (raw)   1163 meV per atom
Magnetic moment   0.0 μB/cell

Cell: 4.955 4.024 4.955 Å, 90.00 90.00 90.00°
Fractional coordinates of all 5 atoms:
Rb (0.500, 0.500, 0.500)
Nb (0.000, 0.500, 0.000)
Ir (0.000, 0.000, 0.500)
Ir (0.500, 0.000, 0.000)
F (0.000, 0.000, 0.000)



Entry 3:
First-principles (PBE-GGA) data for crystalline Nb2TcIrF at its relaxed geometry, as listed in Alexandria.

Summary:
E_tot   -40.045 eV per cell
ΔE_f (raw)   239 meV per atom
Magnetic moment   0.0 μB/cell

Cell: 4.183 4.394 4.183 Å, 90.00 90.00 90.00°
Fractional coordinates of all 5 atoms:
F (0.000, 0.000, 0.000)
Ir (0.000, 0.500, 0.000)
Nb (0.000, 0.000, 0.500)
Nb (0.500, 0.000, 0.000)
Tc (0.500, 0.500, 0.500)



Entry 4:
First-principles (PBE-GGA) data for crystalline Nd2IrF at its relaxed geometry, as listed in Alexandria.

Summary:
E_tot   -26.938 eV per cell
ΔE_f (raw)   -1668 meV per atom
Magnetic moment   0.0 μB/cell

Cell: 4.271 4.271 7.962 Å, 74.44 74.44 60.00°
Fractional coordinates of all 4 atoms:
Ir (0.500, 0.500, 0.500)
F (0.000, 0.000, 0.000)
Nd (0.898, 0.898, 0.306)
Nd (0.102, 0.102, 0.694)



Entry 5:
First-principles (PBE-GGA) data for crystalline Nd2IrF at its relaxed geometry, as listed in Alexandria.

Summary:
E_tot   -26.267 eV per cell
ΔE_f (raw)   -1500 meV per atom
Magnetic moment   0.0 μB/cell

Cell: 4.050 4.050 8.281 Å, 75.84 75.84 60.00°
Fractional coordinates of all 4 atoms:
Nd (0.280, 0.280, 0.160)
Nd (0.082, 0.082, 0.754)
F (0.462, 0.462, 0.613)
Ir (0.676, 0.676, 0.973)